1.
## Zr2TiGe (GGA-PBE)

Data for an optimized crystal structure of Zr2TiGe.

The space group is I-42d (No. 122) and the conventional cell measures 7.7626, 7.7626 and 5.5027 Å, with angles of 90.00, 90.00 and 90.00 degrees. Symmetry generates all atoms from Zr at (0.2267, 0.2500, 0.1250), Ti at (0.0000, 0.0000, 0.5000) and Ge at (0.0000, 0.0000, 0.0000).

The calculated density is 6.07 g cm⁻³. For the energy of formation from the pure elements, the calculation gives 0.055 eV/atom. For the density of states at the Fermi level, the calculation gives 15.8 states/eV per cell. For the electronic total energy, the calculation gives -117.6 eV per cell.

=====

2.
## CdCoHg2Rh (GGA-PBE)

Data for an optimized crystal structure of CdCoHg2Rh.

The space group is P4/mmm (No. 123) and the conventional cell measures 5.1687, 5.1687 and 5.1171 Å, with angles of 90.00, 90.00 and 90.00 degrees. Symmetry generates all atoms from Cd at (0.0000, 0.0000, 0.0000), Co at (0.5000, 0.5000, 0.0000), Hg at (0.0000, 0.5000, 0.5000) and Rh at (0.0000, 0.0000, 0.5000).

The calculated density is 8.20 g cm⁻³. For the energy of formation from the pure elements, the calculation gives 0.920 eV/atom. For the density of states at the Fermi level, the calculation gives 10.8 states/eV per cell. For the electronic total energy, the calculation gives -11.4 eV per cell.

=====

3.
## Cs2KRb16 (GGA-PBE)

Data for an optimized crystal structure of Cs2KRb16.

The space group is R3m (No. 160, hexagonal axes) and the conventional cell measures 16.1751, 16.1751 and 24.5242 Å, with angles of 90.00, 90.00 and 120.00 degrees. Symmetry generates all atoms from Cs at (0.0000, 0.0000, 0.0000), Cs at (0.0000, 0.0000, 0.3528), K at (0.0000, 0.0000, 0.7750), Rb at (0.0000, 0.0000, 0.5825), Rb at (0.0002, 0.3002, 0.6790), Rb at (0.0111, 0.5055, 0.8262), Rb at (0.1681, 0.3363, 0.5117) and Rb at (0.1685, 0.3371, 0.8647).

The calculated density is 1.50 g cm⁻³. For the energy of formation from the pure elements, the calculation gives 0.030 eV/atom. For the density of states at the Fermi level, the calculation gives 52.7 states/eV per cell. For the electronic total energy, the calculation gives -53.1 eV per cell.

=====

4.
## HfMoPCl2 (GGA-PBE)

Data for an optimized crystal structure of HfMoPCl2.

The space group is P4/mmm (No. 123) and the conventional cell measures 4.6611, 4.6611 and 5.0033 Å, with angles of 90.00, 90.00 and 90.00 degrees. Symmetry generates all atoms from Hf at (0.0000, 0.0000, 0.0000), Mo at (0.5000, 0.5000, 0.5000), P at (0.5000, 0.5000, 0.0000) and Cl at (0.0000, 0.5000, 0.5000).

The calculated density is 5.75 g cm⁻³. For the density of states at the Fermi level, the calculation gives 4.6 states/eV per cell. For the electronic total energy, the calculation gives -27.5 eV per cell. The value obtained for the energy above the most stable polymorph in this dataset is 339 meV per atom.

=====

5.
## CaCe2CdHg4 (GGA-PBE)

Data for an optimized crystal structure of CaCe2CdHg4.

The space group is R-3m (No. 166, hexagonal axes) and the conventional cell measures 5.2762, 5.2762 and 26.1433 Å, with angles of 90.00, 90.00 and 120.00 degrees. Symmetry generates all atoms from Ca at (0.0000, 0.0000, 0.0000), Ce at (0.0000, 0.0000, 0.2446), Cd at (0.0000, 0.0000, 0.5000), Hg at (0.0000, 0.0000, 0.1229) and Hg at (0.0000, 0.0000, 0.3720).

The calculated density is 9.76 g cm⁻³. For the energy of formation from the pure elements, the calculation gives -0.384 eV/atom. For the density of states at the Fermi level, the calculation gives 48.9 states/eV per cell. For the electronic total energy, the calculation gives -57.2 eV per cell.

=====

6.
## CsFeCuPt2 (GGA-PBE)

Data for an optimized crystal structure of CsFeCuPt2.

The space group is P4/mmm (No. 123) and the conventional cell measures 4.6961, 4.6961 and 4.9582 Å, with angles of 90.00, 90.00 and 90.00 degrees. Symmetry generates all atoms from Cs at (0.0000, 0.0000, 0.0000), Fe at (0.5000, 0.5000, 0.5000), Cu at (0.5000, 0.5000, 0.0000) and Pt at (0.0000, 0.5000, 0.5000).

The calculated density is 9.76 g cm⁻³. For the energy of formation from the pure elements, the calculation gives 0.789 eV/atom. For the density of states at the Fermi level, the calculation gives 4.8 states/eV per cell. For the electronic total energy, the calculation gives -21.5 eV per cell.

=====

7.
## ZnAsC2 (GGA-PBE)

Data for an optimized crystal structure of ZnAsC2.

The space group is Fm-3m (No. 225) and the conventional cell measures 5.6589, 5.6589 and 5.6589 Å, with angles of 90.00, 90.00 and 90.00 degrees. Symmetry generates all atoms from Zn at (0.0000, 0.0000, 0.0000), As at (0.0000, 0.0000, 0.5000) and C at (0.2500, 0.2500, 0.2500).

The calculated density is 6.02 g cm⁻³. For the energy of formation from the pure elements, the calculation gives 2.166 eV/atom. For the density of states at the Fermi level, the calculation gives 5.8 states/eV per cell. For the electronic total energy, the calculation gives -62.8 eV per cell. The value obtained for the energy above the most stable polymorph in this dataset is 1174 meV per atom.

=====

8.
## Na3ThSc2Se6 (GGA-PBE)

Data for an optimized crystal structure of Na3ThSc2Se6.

The space group is C2/m (No. 12) and the conventional cell measures 6.9832, 12.1035 and 7.4235 Å, with angles of 90.00, 108.37 and 90.00 degrees. Symmetry generates all atoms from Na at (0.0000, 0.0000, 0.0000), Na at (0.0000, 0.3366, 0.0000), Th at (0.0000, 0.5000, 0.5000), Sc at (0.0000, 0.1671, 0.5000), Se at (0.2271, 0.0000, 0.7269) and Se at (0.2498, 0.1744, 0.2733).

The calculated density is 4.82 g cm⁻³. For the density of states at the Fermi level, the calculation gives 9.8 states/eV per cell. For the electronic total energy, the calculation gives -127.1 eV per cell.

=====

9.
## Pr3SbS2 (GGA-PBE)

Data for an optimized crystal structure of Pr3SbS2.

The space group is Imma (No. 74) and the conventional cell measures 7.5203, 11.1645 and 9.0227 Å, with angles of 90.00, 90.00 and 90.00 degrees. Symmetry generates all atoms from Pr at (0.2289, 0.0000, 0.0000), Pr at (0.2500, 0.2500, 0.2500), Sb at (0.0000, 0.2500, 0.9384) and S at (0.0000, 0.0540, 0.2900).

The calculated density is 5.34 g cm⁻³. For the density of states at the Fermi level, the calculation gives 13.5 states/eV per cell. For the electronic total energy, the calculation gives -138.8 eV per cell. The value obtained for the energy above the most stable polymorph in this dataset is 0 meV per atom.

=====

10.
## NdSBr (GGA-PBE)

Data for an optimized crystal structure of NdSBr.

The space group is Fdd2 (No. 43) and the conventional cell measures 11.6155, 13.5925 and 8.8305 Å, with angles of 90.00, 90.00 and 90.00 degrees. Symmetry generates all atoms from Nd at (0.0634, 0.2317, 0.0000), S at (0.0196, 0.1299, 0.7258) and Br at (0.0814, 0.1270, 0.2991).

The calculated density is 4.88 g cm⁻³. For the density of states at the Fermi level, the calculation gives 0.0 states/eV per cell. For the electronic total energy, the calculation gives -264.7 eV per cell.

=====

11.
## CrAsIrBr2 (GGA-PBE)

Data for an optimized crystal structure of CrAsIrBr2.

The space group is P4/mmm (No. 123) and the conventional cell measures 5.3606, 5.3606 and 4.5996 Å, with angles of 90.00, 90.00 and 90.00 degrees. Symmetry generates all atoms from Cr at (0.0000, 0.0000, 0.0000), As at (0.5000, 0.5000, 0.0000), Ir at (0.5000, 0.5000, 0.5000) and Br at (0.0000, 0.5000, 0.5000).

The calculated density is 6.02 g cm⁻³. For the density of states at the Fermi level, the calculation gives 2.8 states/eV per cell. For the electronic total energy, the calculation gives -23.5 eV per cell. The value obtained for the energy above the most stable polymorph in this dataset is 0 meV per atom.

=====

12.
## Ca3InH3 (GGA-PBE)

Data for an optimized crystal structure of Ca3InH3.

The space group is R-3 (No. 148, hexagonal axes) and the conventional cell measures 6.6324, 6.6324 and 23.8000 Å, with angles of 90.00, 90.00 and 120.00 degrees. Symmetry generates all atoms from Ca at (0.0023, 0.6490, 0.3971), In at (0.0000, 0.0000, 0.1665) and H at (0.0067, 0.7010, 0.6330).

The calculated density is 2.62 g cm⁻³. For the density of states at the Fermi level, the calculation gives 12.1 states/eV per cell. For the electronic total energy, the calculation gives -129.4 eV per cell.

=====

13.
## NdBr5 (GGA-PBE)

Data for an optimized crystal structure of NdBr5.

The space group is Pm (No. 6) and the conventional cell measures 4.3163, 5.8019 and 11.5514 Å, with angles of 90.00, 97.03 and 90.00 degrees. Symmetry generates all atoms from Nd at (0.0000, 0.0000, 0.0000), Br at (0.9996, 0.5000, 0.0004), Br at (0.1261, 0.5000, 0.5932), Br at (0.4436, 0.0000, 0.8288), Br at (0.5561, 0.0000, 0.1710) and Br at (0.9160, 0.5000, 0.3997).

The calculated density is 3.14 g cm⁻³. For the density of states at the Fermi level, the calculation gives 0.0 states/eV per cell. For the electronic total energy, the calculation gives -20.2 eV per cell.

=====

14.
## Th4CdGa12 (GGA-PBE)

Data for an optimized crystal structure of Th4CdGa12.

The space group is Im-3m (No. 229) and the conventional cell measures 8.9492, 8.9492 and 8.9492 Å, with angles of 90.00, 90.00 and 90.00 degrees. Symmetry generates all atoms from Th at (0.2500, 0.2500, 0.2500), Cd at (0.0000, 0.0000, 0.0000), Ga at (0.0000, 0.0000, 0.3185) and Ga at (0.0000, 0.2500, 0.5000).

The calculated density is 8.70 g cm⁻³. For the energy of formation from the pure elements, the calculation gives -0.467 eV/atom. For the density of states at the Fermi level, the calculation gives 14.8 states/eV per cell. For the electronic total energy, the calculation gives -149.7 eV per cell.

=====

15.
## AgPd2Pt4 (GGA-PBE)

Data for an optimized crystal structure of AgPd2Pt4.

The space group is C2/m (No. 12) and the conventional cell measures 8.8286, 3.9899 and 6.3515 Å, with angles of 90.00, 98.80 and 90.00 degrees. Symmetry generates all atoms from Ag at (0.0000, 0.0000, 0.0000), Pd at (0.2134, 0.5000, 0.1426), Pt at (0.0723, 0.5000, 0.7091) and Pt at (0.1436, 0.0000, 0.4307).

The calculated density is 16.54 g cm⁻³. For the energy of formation from the pure elements, the calculation gives -0.002 eV/atom. For the density of states at the Fermi level, the calculation gives 26.4 states/eV per cell. For the electronic total energy, the calculation gives -74.8 eV per cell.

=====

16.
## ThPaC2 (GGA-PBE)

Data for an optimized crystal structure of ThPaC2.

The space group is R3m (No. 160, hexagonal axes) and the conventional cell measures 3.6207, 3.6207 and 18.4843 Å, with angles of 90.00, 90.00 and 120.00 degrees. Symmetry generates all atoms from Th at (0.0000, 0.0000, 0.0000), Pa at (0.0000, 0.0000, 0.1693), C at (0.0000, 0.0000, 0.5770) and C at (0.0000, 0.0000, 0.7626).

The calculated density is 11.56 g cm⁻³. For the energy of formation from the pure elements, the calculation gives -0.212 eV/atom. For the density of states at the Fermi level, the calculation gives 10.1 states/eV per cell. For the electronic total energy, the calculation gives -108.6 eV per cell. The value obtained for the energy above the most stable polymorph in this dataset is 161 meV per atom.

=====

17.
## Sc2AlAu6 (GGA-PBE)

Data for an optimized crystal structure of Sc2AlAu6.

The space group is P4_2/mnm (No. 136) and the conventional cell measures 8.5601, 8.5601 and 4.4543 Å, with angles of 90.00, 90.00 and 90.00 degrees. Symmetry generates all atoms from Sc at (0.2025, 0.2025, 0.0000), Al at (0.0000, 0.0000, 0.5000), Au at (0.0326, 0.3269, 0.5000) and Au at (0.1259, 0.8741, 0.0000).

The calculated density is 13.21 g cm⁻³. For the energy of formation from the pure elements, the calculation gives -0.621 eV/atom. For the density of states at the Fermi level, the calculation gives 10.0 states/eV per cell. For the electronic total energy, the calculation gives -83.3 eV per cell.

=====

18.
## ZnCd (GGA-PBE)

Data for an optimized crystal structure of ZnCd.

The space group is Cmcm (No. 63) and the conventional cell measures 3.4521, 8.9304 and 5.1644 Å, with angles of 90.00, 90.00 and 90.00 degrees. Symmetry generates all atoms from Zn at (0.0000, 0.0000, 0.0000) and Cd at (0.0000, 0.2815, 0.2500).

The calculated density is 7.42 g cm⁻³. For the energy of formation from the pure elements, the calculation gives 0.066 eV/atom. For the density of states at the Fermi level, the calculation gives 2.8 states/eV per cell. For the electronic total energy, the calculation gives -8.2 eV per cell.

=====

19.
## LiHoTlBr5 (GGA-PBE)

Data for an optimized crystal structure of LiHoTlBr5.

The space group is C2/c (No. 15) and the conventional cell measures 9.2512, 12.6767 and 10.5024 Å, with angles of 90.00, 113.15 and 90.00 degrees. Symmetry generates all atoms from Li at (0.0000, 0.1916, 0.2500), Ho at (0.0000, 0.5000, 0.0000), Tl at (0.0000, 0.1438, 0.7500), Br at (0.0000, 0.4193, 0.7500), Br at (0.1132, 0.3020, 0.1100) and Br at (0.1904, 0.0655, 0.4323).

The calculated density is 4.55 g cm⁻³. For the density of states at the Fermi level, the calculation gives 0.0 states/eV per cell. For the electronic total energy, the calculation gives -117.9 eV per cell.

=====

20.
## LaGaP2Rh (GGA-PBE)

Data for an optimized crystal structure of LaGaP2Rh.

The space group is P4/mmm (No. 123) and the conventional cell measures 4.6650, 4.6650 and 5.2521 Å, with angles of 90.00, 90.00 and 90.00 degrees. Symmetry generates all atoms from La at (0.0000, 0.0000, 0.0000), Ga at (0.5000, 0.5000, 0.0000), P at (0.0000, 0.5000, 0.5000) and Rh at (0.0000, 0.0000, 0.5000).

The calculated density is 5.43 g cm⁻³. For the energy of formation from the pure elements, the calculation gives -0.149 eV/atom. For the density of states at the Fermi level, the calculation gives 2.7 states/eV per cell. For the electronic total energy, the calculation gives -26.9 eV per cell.

=====

21.
## Ag2I2Br5 (GGA-PBE)

Data for an optimized crystal structure of Ag2I2Br5.

The space group is Cc (No. 9) and the conventional cell measures 29.5412, 6.2495 and 7.7513 Å, with angles of 90.00, 97.66 and 90.00 degrees. Symmetry generates all atoms from Ag at (0.0000, 0.1365, 0.0000), Ag at (0.3205, 0.2302, 0.2122), I at (0.1643, 0.1912, 0.6075), I at (0.4195, 0.1619, 0.6153), Br at (0.0491, 0.0883, 0.3063), Br at (0.1648, 0.4992, 0.8575), Br at (0.2861, 0.0436, 0.9199), Br at (0.3547, 0.4832, 0.4946) and Br at (0.4778, 0.1667, 0.1829).

The calculated density is 4.07 g cm⁻³. For the density of states at the Fermi level, the calculation gives 31.8 states/eV per cell. For the electronic total energy, the calculation gives -72.3 eV per cell.

=====

22.
## TbEuGa4 (GGA-PBE)

Data for an optimized crystal structure of TbEuGa4.

The space group is F-43m (No. 216) and the conventional cell measures 7.9060, 7.9060 and 7.9060 Å, with angles of 90.00, 90.00 and 90.00 degrees. Symmetry generates all atoms from Tb at (0.0000, 0.0000, 0.0000), Eu at (0.2500, 0.2500, 0.2500) and Ga at (0.1251, 0.1251, 0.6251).

The calculated density is 7.93 g cm⁻³. For the energy of formation from the pure elements, the calculation gives -0.518 eV/atom. For the density of states at the Fermi level, the calculation gives 13.3 states/eV per cell. For the electronic total energy, the calculation gives -120.5 eV per cell.